A plane-wave DFT calculation with PBE-GGA was carried out for a geometry-optimized AcNd8Sm6 structure.

The structure in CIF format:
```
data_AcNd8Sm6
_space_group_name_H-M_alt 'R -3'
_space_group_IT_number 148
_space_group_name_Hall '-R 3'
_cell_length_a 9.5149
_cell_length_b 9.5149
_cell_length_c 20.4944
_cell_angle_alpha 90.00
_cell_angle_beta 90.00
_cell_angle_gamma 120.00
loop_
_atom_site_label
_atom_site_type_symbol
_atom_site_fract_x
_atom_site_fract_y
_atom_site_fract_z
Ac1 Ac 0.0000 0.0000 0.0000
Nd1 Nd 0.0000 0.0000 0.4280
Nd2 Nd 0.0623 0.8160 0.1638
Sm1 Sm 0.0393 0.7974 0.6915
```

Values from the calculation:
E above lowest polymorph in eV per atom: 0.0000
ΔE_f in eV per formula unit: 2.22